Record 1
A relaxed structure of Ac2MgGa3Hg4, computed with PBE.

For the calculated volume, the calculation gives 250 Å³/cell. Its symmetry is P-4m2. The total magnetic moment is 0.0 μB per formula unit. Its crystal system is tetragonal. The calculation puts the formation energy at -389 kJ/mol of formula units.

Cell and atoms, written as POSCAR:
```
Ac2MgGa3Hg4
1.0
4.665 0.000 0.000
0.000 4.665 0.000
0.000 0.000 11.494
Ac Mg Ga Hg
2 1 3 4
direct
0.000 0.500 0.238
0.500 0.000 0.762
0.000 0.000 0.500
0.000 0.500 0.865
0.500 0.000 0.135
0.500 0.500 0.500
0.000 0.000 0.000
0.000 0.500 0.635
0.500 0.000 0.365
0.500 0.500 0.000
```

***

Record 2
A relaxed structure of Ac4GaHgN, computed with PBE.

For the calculated volume, the calculation gives 454 Å³/cell. Its symmetry is Cmcm. The total magnetic moment is 0.0 μB per formula unit. Its crystal system is orthorhombic. The formation energy without anion corrections comes out at -3.875 eV/f.u.

Cell and atoms, written as POSCAR:
```
Ac4GaHgN
1.0
3.783 -7.925 0.000
3.783 7.925 0.000
0.000 0.000 7.580
Ac Ga Hg N
8 2 2 2
direct
0.000 0.500 0.000
0.000 0.500 0.500
0.072 0.928 0.750
0.421 0.579 0.750
0.500 0.000 0.000
0.500 0.000 0.500
0.579 0.421 0.250
0.928 0.072 0.250
0.129 0.871 0.250
0.871 0.129 0.750
0.379 0.621 0.250
0.621 0.379 0.750
0.253 0.747 0.750
0.747 0.253 0.250
```

***

Record 3
A relaxed structure of AcNdGaHg, computed with PBE.

For the calculated volume, the calculation gives 118 Å³/cell. Its symmetry is F-43m. The total magnetic moment is 0.0 μB per formula unit. Its crystal system is cubic. The calculation puts the formation energy at -171 kJ/mol of formula units.

Cell and atoms, written as POSCAR:
```
AcNdGaHg
1.0
0.000 3.894 3.894
3.894 0.000 3.894
3.894 3.894 0.000
Ac Nd Ga Hg
1 1 1 1
direct
0.000 0.000 0.000
0.500 0.500 0.500
0.750 0.750 0.750
0.250 0.250 0.250
```

***

Record 4
A relaxed structure of AcGa2HgO6, computed with PBE.

For the calculated volume, the calculation gives 322 Å³/cell. Its symmetry is C2/c. The total magnetic moment is 0.0 μB per formula unit. Its crystal system is monoclinic. The formation energy without anion corrections comes out at -17.028 eV/f.u.

Cell and atoms, written as POSCAR:
```
AcGa2HgO6
1.0
5.912 -4.601 0.000
5.912 4.601 0.000
-2.676 0.000 5.911
Ac Ga Hg O
2 4 2 12
direct
0.138 0.862 0.750
0.862 0.138 0.250
0.222 0.352 0.802
0.352 0.222 0.302
0.648 0.778 0.698
0.778 0.648 0.198
0.285 0.715 0.250
0.715 0.285 0.750
0.041 0.191 0.660
0.133 0.611 0.919
0.191 0.041 0.160
0.306 0.387 0.574
0.387 0.306 0.074
0.389 0.867 0.581
0.611 0.133 0.419
0.613 0.694 0.926
0.694 0.613 0.426
0.809 0.959 0.840
0.867 0.389 0.081
0.959 0.809 0.340
```

***

Record 5
A relaxed structure of Ac2GaHgO6, computed with PBE.

For the calculated volume, the calculation gives 158 Å³/cell. Its symmetry is P4mm. The total magnetic moment is 0.0 μB per formula unit. Its crystal system is tetragonal. The formation energy without anion corrections comes out at -20.549 eV/f.u.

Cell and atoms, written as POSCAR:
```
Ac2GaHgO6
1.0
5.588 0.000 0.000
0.000 5.588 0.000
0.000 0.000 5.053
Ac Ga Hg O
2 1 1 6
direct
0.000 0.500 0.000
0.500 0.000 0.000
0.000 0.000 0.545
0.500 0.500 0.552
0.000 0.000 0.178
0.231 0.231 0.688
0.231 0.769 0.688
0.500 0.500 0.105
0.769 0.231 0.688
0.769 0.769 0.688
```

***

Record 6
A relaxed structure of AcGaHg2O, computed with PBE.

For the calculated volume, the calculation gives 246 Å³/cell. Its symmetry is P4/nmm. The total magnetic moment is 0.0 μB per formula unit. Its crystal system is tetragonal. The formation energy without anion corrections comes out at -6.112 eV/f.u.

Cell and atoms, written as POSCAR:
```
AcGaHg2O
1.0
4.146 0.000 0.000
0.000 4.146 0.000
0.000 0.000 14.294
Ac Ga Hg O
2 2 4 2
direct
0.250 0.250 0.092
0.750 0.750 0.908
0.250 0.250 0.556
0.750 0.750 0.444
0.250 0.250 0.359
0.250 0.250 0.758
0.750 0.750 0.242
0.750 0.750 0.641
0.250 0.750 0.000
0.750 0.250 0.000
```

***

Record 7
A relaxed structure of Ac4Ga3HgO12, computed with PBE.

For the calculated volume, the calculation gives 269 Å³/cell. Its symmetry is Im-3m. The total magnetic moment is 0.0 μB per formula unit. Its crystal system is cubic. The formation energy without anion corrections comes out at -45.936 eV/f.u.

Cell and atoms, written as POSCAR:
```
Ac4Ga3HgO12
1.0
-4.066 4.066 4.066
4.066 -4.066 4.066
4.066 4.066 -4.066
Ac Ga Hg O
4 3 1 12
direct
0.000 0.000 0.500
0.000 0.500 0.000
0.500 0.000 0.000
0.500 0.500 0.500
0.000 0.500 0.500
0.500 0.000 0.500
0.500 0.500 0.000
0.000 0.000 0.000
0.000 0.268 0.268
0.000 0.732 0.732
0.250 0.500 0.750
0.250 0.750 0.500
0.268 0.000 0.268
0.268 0.268 0.000
0.500 0.250 0.750
0.500 0.750 0.250
0.732 0.000 0.732
0.732 0.732 0.000
0.750 0.250 0.500
0.750 0.500 0.250
```

***

Record 8
A relaxed structure of Ac2GaHgPd6, computed with PBE.

For the calculated volume, the calculation gives 245 Å³/cell. Its symmetry is C2/m. The total magnetic moment is 0.0 μB per formula unit. Its crystal system is monoclinic. The calculation puts the formation energy at -559 kJ/mol of formula units.

Cell and atoms, written as POSCAR:
```
Ac2GaHgPd6
1.0
5.111 -2.951 0.000
5.111 2.951 0.000
-3.417 0.000 8.135
Ac Ga Hg Pd
2 1 1 6
direct
0.216 0.216 0.147
0.784 0.784 0.853
0.500 0.500 0.000
0.000 0.000 0.500
0.231 0.746 0.222
0.254 0.254 0.779
0.254 0.769 0.778
0.746 0.231 0.222
0.746 0.746 0.221
0.769 0.254 0.778
```